Record 1
A relaxed structure of Tb2AgSb3. Source: the Alexandria database, functional GGA-PBE.

```
Tb2AgSb3
1.0
11.623 0.000 0.000
0.000 11.623 0.000
0.000 0.000 16.617
Tb Ag Sb
2 1 3
direct
0.000 0.000 0.173
0.000 0.000 0.827
0.000 0.000 0.500
0.000 0.000 0.000
0.000 0.000 0.342
0.000 0.000 0.658
```

DOS at the Fermi energy = 8.81 states/eV/cell
Final energy = -17.24 eV for the cell shown
Formation energy from raw total energies = 1.207 eV per atom
Space-group type = P4/mmm, No. 123



Record 2
A relaxed structure of Tm5SnBi. Source: the Alexandria database, functional GGA-PBE.

```
Tm5SnBi
1.0
4.389 -4.274 0.000
4.389 4.274 0.000
-2.948 0.000 10.919
Tm Sn Bi
10 2 2
direct
0.006 0.569 0.157
0.113 0.887 0.750
0.237 0.530 0.467
0.431 0.994 0.343
0.470 0.763 0.033
0.530 0.237 0.967
0.569 0.006 0.657
0.763 0.470 0.533
0.887 0.113 0.250
0.994 0.431 0.843
0.000 0.000 0.000
0.000 0.000 0.500
0.474 0.526 0.750
0.526 0.474 0.250
```

DOS at the Fermi energy = 15.01 states/eV/cell
E_form = -239 meV/atom
Final energy = -63.82 eV for the cell shown
Space-group type = C2/c, No. 15



Record 3
A relaxed structure of BMoPbSe2. Source: the Alexandria database, functional GGA-PBE.

```
BMoPbSe2
1.0
4.895 0.000 0.000
0.000 4.895 0.000
0.000 0.000 4.232
B Mo Pb Se
1 1 1 2
direct
0.000 0.000 0.000
0.000 0.000 0.500
0.500 0.500 0.500
0.000 0.500 0.000
0.500 0.000 0.000
```

DOS at the Fermi energy = 3.71 states/eV/cell
Final energy = -24.48 eV for the cell shown
Formation energy from raw total energies = 0.742 eV per atom
Space-group type = P4/mmm, No. 123



Record 4
A relaxed structure of LiPu2ScO8. Source: the Alexandria database, functional GGA-PBE.

```
LiPu2ScO8
1.0
3.324 -3.432 0.000
3.324 3.432 0.000
0.000 0.000 6.846
Li Pu Sc O
1 2 1 8
direct
0.000 0.000 0.000
0.500 0.500 0.247
0.500 0.500 0.753
0.000 0.000 0.500
0.209 0.209 0.258
0.209 0.209 0.742
0.303 0.697 0.500
0.314 0.686 0.000
0.686 0.314 0.000
0.697 0.303 0.500
0.791 0.791 0.258
0.791 0.791 0.742
```

DOS at the Fermi energy = 3.61 states/eV/cell
Final energy = -108.54 eV for the cell shown
Formation energy from raw total energies = -2.664 eV per atom
Space-group type = Cmmm, No. 65